Density functional theory data (PBE) for crystalline Ac4Sn3H at its relaxed geometry.

extended XYZ file:
```
16
Lattice="7.043 0.000 0.000 0.000 11.303 0.000 0.000 0.000 6.705" Properties=species:S:1:pos:R:3 pbc="T T T"
Ac 0.000 2.179 0.000
Ac 0.000 9.124 0.000
Ac 1.721 5.651 0.734
Ac 1.800 0.000 4.086
Ac 3.521 3.472 3.352
Ac 3.521 7.830 3.352
Ac 5.243 0.000 4.086
Ac 5.322 5.651 0.734
Sn 0.000 2.935 3.167
Sn 0.000 5.651 4.412
Sn 0.000 8.367 3.167
Sn 3.521 0.000 1.060
Sn 3.521 2.716 6.520
Sn 3.521 8.587 6.520
H 0.000 0.000 5.717
H 3.521 5.651 2.364
```

Volume in Å³ per cell: 533.73
Symmetry: Imm2, No. 44
Magnetic moment in μB/cell: 0.169
Crystal system: orthorhombic
VASP energy in eV per cell: -70.1